A plane-wave DFT calculation with GGA-PBE was carried out for crystalline Ba2ZrPt at its relaxed geometry.

Values from the calculation:
As for the energy above the most stable polymorph in this dataset: 117.0 meV/atom. As for the energy of formation from the pure elements: -0.6 eV per formula unit.

a b c (Å): 3.909 5.956 12.044
angles (deg): 90.00 90.00 90.00
Space group Imm2 (No. 44)
Unique sites:
Ba  0.000  0.000  0.000 [2 per cell]
Ba  0.000  0.500  0.197 [2 per cell]
Zr  0.000  0.500  0.819 [2 per cell]
Pt  0.000  0.000  0.461 [2 per cell]

A plane-wave DFT calculation with GGA-PBE was carried out for crystalline BaZrPt2 at its relaxed geometry.

Values from the calculation:
As for the energy above the most stable polymorph in this dataset: 465.2 meV/atom. As for the energy of formation from the pure elements: -1.4 eV per formula unit.

a b c (Å): 7.165 7.165 7.165
angles (deg): 90.00 90.00 90.00
Space group Fm-3m (No. 225)
Unique sites:
Ba  0.000  0.000  0.000 [4 per cell]
Zr  0.000  0.000  0.500 [4 per cell]
Pt  0.250  0.250  0.250 [8 per cell]

A plane-wave DFT calculation with GGA-PBE was carried out for crystalline Ba2ZrPt at its relaxed geometry.

Values from the calculation:
As for the energy above the most stable polymorph in this dataset: 488.0 meV/atom. As for the energy of formation from the pure elements: 0.9 eV per formula unit.

a b c (Å): 4.0556 4.0556 30.7541
angles (deg): 90.00 90.00 120.00
Space group R-3m (No. 166, hexagonal axes)
Unique sites:
Ba  0.0000  0.0000  0.2323 [6 per cell]
Zr  0.0000  0.0000  0.0000 [3 per cell]
Pt  0.0000  0.0000  0.5000 [3 per cell]

A plane-wave DFT calculation with GGA-PBE was carried out for crystalline Ba2ZrPt at its relaxed geometry.

Values from the calculation:
As for the energy above the most stable polymorph in this dataset: 679.1 meV/atom. As for the energy of formation from the pure elements: 1.7 eV per formula unit.

a b c (Å): 8.042 8.042 8.042
angles (deg): 90.00 90.00 90.00
Space group Fm-3m (No. 225)
Unique sites:
Ba  0.250  0.250  0.250 [8 per cell]
Zr  0.000  0.000  0.000 [4 per cell]
Pt  0.000  0.000  0.500 [4 per cell]

A plane-wave DFT calculation with GGA-PBE was carried out for crystalline Ba2ZrPt2 at its relaxed geometry.

Values from the calculation:
As for the energy of formation from the pure elements: -2.3 eV per formula unit.

a b c (Å): 7.269 7.269 5.313
angles (deg): 90.00 90.00 90.00
Space group P4/mbm (No. 127)
Unique sites:
Ba  0.171  0.329  0.000 [4 per cell]
Zr  0.000  0.000  0.500 [2 per cell]
Pt  0.139  0.639  0.500 [4 per cell]

A plane-wave DFT calculation with GGA-PBE was carried out for crystalline BaZrPt2 at its relaxed geometry.

Values from the calculation:
As for the energy above the most stable polymorph in this dataset: 617.2 meV/atom. As for the energy of formation from the pure elements: -0.8 eV per formula unit.

a b c (Å): 4.254 4.254 9.880
angles (deg): 90.00 90.00 90.00
Space group I-4m2 (No. 119)
Unique sites:
Ba  0.000  0.000  0.000 [2 per cell]
Zr  0.000  0.500  0.250 [2 per cell]
Pt  0.000  0.000  0.500 [2 per cell]
Pt  0.000  0.500  0.750 [2 per cell]

A plane-wave DFT calculation with GGA-PBE was carried out for crystalline Ba3ZrPt at its relaxed geometry.

Values from the calculation:
As for the energy above the most stable polymorph in this dataset: 0.0 meV/atom. As for the energy of formation from the pure elements: 1.1 eV per formula unit.

a b c (Å): 6.152 6.152 6.152
angles (deg): 90.00 90.00 90.00
Space group Pm-3m (No. 221)
Unique sites:
Ba  0.000  0.000  0.500 [3 per cell]
Zr  0.500  0.500  0.500 [1 per cell]
Pt  0.000  0.000  0.000 [1 per cell]

A plane-wave DFT calculation with GGA-PBE was carried out for crystalline BaZrPt2 at its relaxed geometry.

Values from the calculation:
As for the energy above the most stable polymorph in this dataset: 56.6 meV/atom. As for the energy of formation from the pure elements: -3.0 eV per formula unit.

a b c (Å): 4.5941 4.5941 17.7189
angles (deg): 90.00 90.00 120.00
Space group R-3m (No. 166, hexagonal axes)
Unique sites:
Ba  0.0000  0.0000  0.0000 [3 per cell]
Zr  0.0000  0.0000  0.5000 [3 per cell]
Pt  0.0000  0.0000  0.2054 [6 per cell]

A plane-wave DFT calculation with GGA-PBE was carried out for crystalline Ba2ZrPt at its relaxed geometry.

Values from the calculation:
As for the energy above the most stable polymorph in this dataset: 582.2 meV/atom. As for the energy of formation from the pure elements: 1.3 eV per formula unit.

a b c (Å): 4.570 4.570 11.035
angles (deg): 90.00 90.00 90.00
Space group I4/mmm (No. 139)
Unique sites:
Ba  0.000  0.500  0.250 [4 per cell]
Zr  0.000  0.000  0.000 [2 per cell]
Pt  0.000  0.000  0.500 [2 per cell]

A plane-wave DFT calculation with GGA-PBE was carried out for crystalline Ba4Pu at its relaxed geometry.

Values from the calculation:
As for the energy of formation from the pure elements: 2.4 eV per formula unit.

a b c (Å): 6.776 6.776 6.776
angles (deg): 90.00 90.00 90.00
Space group Pm-3m (No. 221)
Unique sites:
Ba  0.000  0.000  0.000 [1 per cell]
Ba  0.000  0.500  0.500 [3 per cell]
Pu  0.500  0.500  0.500 [1 per cell]

A plane-wave DFT calculation with GGA-PBE was carried out for crystalline BaPuRh4 at its relaxed geometry.

Values from the calculation:
As for the energy of formation from the pure elements: -1.3 eV per formula unit.

a b c (Å): 7.733 7.733 7.733
angles (deg): 90.00 90.00 90.00
Space group F-43m (No. 216)
Unique sites:
Ba  0.000  0.000  0.000 [4 per cell]
Pu  0.250  0.250  0.750 [4 per cell]
Rh  0.124  0.124  0.376 [16 per cell]

A plane-wave DFT calculation with GGA-PBE was carried out for crystalline Ba2PuRh at its relaxed geometry.

Values from the calculation:
As for the energy of formation from the pure elements: 1.6 eV per formula unit.

a b c (Å): 4.0957 4.0957 34.2136
angles (deg): 90.00 90.00 120.00
Space group R-3m (No. 166, hexagonal axes)
Unique sites:
Ba  0.0000  0.0000  0.1120 [6 per cell]
Pu  0.0000  0.0000  0.0000 [3 per cell]
Rh  0.0000  0.0000  0.5000 [3 per cell]